PBE ZrTeAs2, relaxed; VASP energy = -5.624 eV per atom; E_form (uncorrected) = -0.377 eV/atom; V = 27.7 Å³/atom
1.0
4.970 -0.058 -0.174
3.511 3.517 -0.174
-0.311 -0.127 6.285
As Te Zr
2 1 1
Cartesian
0.133 0.054 5.866
2.361 0.963 0.853
3.330 1.358 3.426
6.122 2.497 5.043

PBE Zn3Au, relaxed; VASP energy = -1.939 eV per atom; V = 15.8 Å³/atom
1.0
-6.207 -0.787 -4.925
-3.684 -4.577 5.375
-3.362 6.468 3.203
Au Zn
8 24
Cartesian
0.000 0.000 0.000
-6.627 0.552 1.826
-3.233 3.037 0.370
-6.336 2.644 -2.092
-4.025 -1.538 -1.119
-5.867 -3.826 1.568
-2.683 -0.671 3.488
-4.364 2.563 5.090
-1.611 1.183 1.842
-4.085 -1.889 5.450
-2.962 3.781 3.128
-5.435 0.709 6.736
-2.410 0.827 -0.947
-4.667 5.170 1.203
-4.902 0.511 -2.925
-7.160 4.853 -0.775
-2.122 -1.499 0.799
-6.289 -2.027 -2.508
-3.602 -3.337 2.957
-7.769 -3.865 -0.349
-6.641 -1.513 0.058
-4.601 -1.254 1.677
-8.653 2.358 1.975
-6.613 2.617 3.594
-7.176 -1.880 2.908
-8.282 0.246 3.961
-4.972 0.858 -0.308
-6.077 2.984 0.745
-9.089 -0.436 1.236
-7.878 1.069 -0.531
-5.375 0.036 4.183
-4.164 1.540 2.417